1.
# PmCdBiPd

A relaxed PmCdBiPd crystal (PBE, the Alexandria database).

Computed properties:
DOS(E_F)   0.440 states/eV/atom
Total moment   0.00 Bohr magnetons per cell
Volume   24.292 A^3/atom
Uncorrected energy   -4.13 eV/atom

```
PmCdBiPd
1.0
-4.5622 -2.3804 0.3861
-0.8413 -3.3605 3.8247
-3.2275 1.2150 3.8388
Pm Cd Bi Pd
1 1 1 1
Direct
0.0000 0.0000 0.0000
0.7500 0.7500 0.7500
0.5000 0.5000 0.5000
0.2500 0.2500 0.2500
```

=====

2.
# Cd2Bi2Pd7Pt

A relaxed Cd2Bi2Pd7Pt crystal (PBE, the Alexandria database).

Computed properties:
DOS(E_F)   1.196 states/eV/atom
Total moment   0.00 Bohr magnetons per cell
Volume   19.460 A^3/atom
Uncorrected energy   -4.43 eV/atom

```
Cd2Bi2Pd7Pt
1.0
3.8572 -0.0026 0.0182
0.0021 3.8572 0.0182
1.8459 1.8437 15.7126
Pd Bi Cd Pt
7 2 2 1
Direct
0.5000 0.5000 0.0000
0.4346 0.9346 0.1309
0.2766 0.2766 0.4467
0.9346 0.4346 0.1309
0.0654 0.5654 0.8691
0.7234 0.7234 0.5533
0.5654 0.0654 0.8691
0.8106 0.8106 0.3773
0.1894 0.1894 0.6227
0.3703 0.3703 0.2590
0.6297 0.6297 0.7410
0.0000 0.0000 0.0000
```

=====

3.
# CdBiPdPt

A relaxed CdBiPdPt crystal (PBE, the Alexandria database).

Computed properties:
DOS(E_F)   0.345 states/eV/atom
Total moment   0.00 Bohr magnetons per cell
Volume   19.561 A^3/atom
Uncorrected energy   -4.24 eV/atom

```
CdBiPdPt
1.0
-0.3776 2.9696 3.7533
-4.3310 1.1657 1.7125
-1.4300 -1.6869 4.2613
Pd Bi Cd Pt
1 1 1 1
Direct
0.2500 0.2500 0.2500
0.0000 0.0000 0.0000
0.5000 0.5000 0.5000
0.7500 0.7500 0.7500
```

=====

4.
# Cd2ReBiPd

A relaxed Cd2ReBiPd crystal (PBE, the Alexandria database).

Computed properties:
DOS(E_F)   0.752 states/eV/atom
Total moment   3.82 Bohr magnetons per cell
Volume   27.037 A^3/atom
Uncorrected energy   -3.50 eV/atom

```
Cd2ReBiPd
1.0
5.0821 0.0000 0.0000
0.0000 5.2340 0.0000
0.0000 0.0000 5.0821
Cd Pd Re Bi
2 1 1 1
Direct
0.0000 0.0000 0.5000
0.5000 0.0000 0.0000
0.0000 0.0000 0.0000
0.5000 0.5000 0.5000
0.0000 0.5000 0.0000
```

=====

5.
# CdBiPdRh

A relaxed CdBiPdRh crystal (PBE, the Alexandria database).

Computed properties:
DOS(E_F)   0.955 states/eV/atom
Total moment   0.00 Bohr magnetons per cell
Volume   18.805 A^3/atom
Uncorrected energy   -4.48 eV/atom

```
CdBiPdRh
1.0
4.7383 0.0000 0.0000
2.3691 4.1035 0.0000
2.3691 1.3678 3.8688
Cd Bi Rh Pd
1 1 1 1
Direct
0.7500 0.7500 0.7500
0.2500 0.2500 0.2500
0.5000 0.5000 0.5000
0.0000 0.0000 0.0000
```

=====

6.
# CdBiPdRu2

A relaxed CdBiPdRu2 crystal (PBE, the Alexandria database).

Computed properties:
DOS(E_F)   1.080 states/eV/atom
Total moment   3.71 Bohr magnetons per cell
Volume   24.058 A^3/atom
Uncorrected energy   -4.20 eV/atom

```
CdBiPdRu2
1.0
4.9496 0.0000 0.0000
0.0000 4.9102 0.0000
0.0000 0.0000 4.9496
Ru Cd Bi Pd
2 1 1 1
Direct
0.0000 0.0000 0.5000
0.5000 0.0000 0.0000
0.0000 0.0000 0.0000
0.5000 0.5000 0.5000
0.0000 0.5000 0.0000
```

=====

7.
# CdBi2Sb2Pd7

A relaxed CdBi2Sb2Pd7 crystal (PBE, the Alexandria database).

Computed properties:
DOS(E_F)   0.582 states/eV/atom
Total moment   0.00 Bohr magnetons per cell
Volume   21.164 A^3/atom
Uncorrected energy   -4.68 eV/atom
E_form (uncorrected)   -23.16 kJ per mole of atoms

```
CdBi2Sb2Pd7
1.0
3.9974 -0.0100 0.1277
-0.0051 3.9974 0.1277
2.3364 2.3335 16.0431
Sb Pd Bi Cd
2 7 2 1
Direct
0.2772 0.2772 0.5821
0.7228 0.7228 0.4179
0.5938 0.0933 0.8693
0.7795 0.7795 0.5761
0.2205 0.2205 0.4239
0.5000 0.5000 0.0000
0.0933 0.5938 0.8693
0.9067 0.4062 0.1307
0.4062 0.9067 0.1307
0.3235 0.3235 0.2482
0.6765 0.6765 0.7518
0.0000 0.0000 0.0000
```

=====

8.
# SmCdBiPd

A relaxed SmCdBiPd crystal (PBE, the Alexandria database).

Computed properties:
DOS(E_F)   0.452 states/eV/atom
Total moment   0.00 Bohr magnetons per cell
Volume   24.128 A^3/atom
Uncorrected energy   -4.11 eV/atom

```
SmCdBiPd
1.0
-3.0370 -3.0034 -2.8749
-2.6863 -3.8021 2.1993
-5.1189 0.3688 0.4118
Bi Sm Pd Cd
1 1 1 1
Direct
0.0000 0.0000 0.0000
0.5000 0.5000 0.5000
0.2500 0.2500 0.2500
0.7500 0.7500 0.7500
```

=====

total moment of number 8 (SmCdBiPd)? 0.00 Bohr magnetons per cell

=====

The lowest volume belongs to which entry? CdBiPdRh

=====

Number 2 is which compound? Cd2Bi2Pd7Pt

=====

Which of these has the highest DOS(E_F)? Cd2Bi2Pd7Pt